No. 1
Below is a geometry-optimized Ac4Pr5Er structure, with properties calculated at the GGA-PBE level.

Lattice parameters (Å, degrees): 5.4725 8.9267 10.1095 118.12 105.70 90.00
Last column: nearest neighbours and their distance in Å.
Atoms (fractional coordinates):
Pr1 0.1778 0.7301 0.3556  3 Pr 3.64-3.83, 5 Ac 3.68-3.90
Pr2 0.1644 0.1229 0.3287  5 Ac 3.61-3.78, 3 Pr 3.64-3.83, 2 Er 3.94
Er1 0.5000 0.0000 0.0000  6 Ac 3.56-3.65, 4 Pr 3.94
Pr3 0.8222 0.2699 0.6444  3 Pr 3.64-3.83, 5 Ac 3.68-3.90
Ac1 0.6747 0.4246 0.3493  1 Er 3.65, 7 Pr 3.71-3.84, 4 Ac 3.75
Pr4 0.5000 0.5000 0.0000  6 Ac 3.55-3.78
Ac2 0.0237 0.2756 0.0474  6 Pr 3.55-3.90, 2 Er 3.56, 2 Ac 3.75
Ac3 0.3253 0.5754 0.6507  1 Er 3.65, 7 Pr 3.71-3.84, 4 Ac 3.75
Ac4 0.9763 0.7244 0.9526  6 Pr 3.55-3.90, 2 Er 3.56, 2 Ac 3.75
Pr5 0.8356 0.8771 0.6713  5 Ac 3.61-3.78, 3 Pr 3.64-3.83, 2 Er 3.94

Size of the total moment = 0.000 μB per cell
VASP energy = -42.21 eV/cell
Formation enthalpy at 0 K = 0.268 eV/atom



No. 2
Below is a geometry-optimized Ac2Pr2Er structure, with properties calculated at the GGA-PBE level.

Lattice parameters (Å, degrees): 6.6824 6.6824 10.2294 99.66 102.43 114.44
Last column: nearest neighbours and their distance in Å.
Atoms (fractional coordinates):
Ac1 0.8512 0.3005 0.6500  6 Pr 3.56-3.74, 1 Ac 3.93
Ac2 0.3495 0.2989 0.1500  6 Pr 3.56-3.74, 1 Ac 3.93
Er1 0.7499 0.9999 0.2500  4 Pr 3.39-3.40
Pr1 0.7222 0.7229 0.4999  1 Pr 3.22, 2 Er 3.39-3.40, 2 Ac 3.56
Pr2 0.7770 0.2778 0.9999  1 Pr 3.22, 2 Er 3.39-3.40, 2 Ac 3.56
Ac3 0.1488 0.6995 0.3500  6 Pr 3.56-3.74, 1 Ac 3.93
Pr3 0.2230 0.7222 0.0001  1 Pr 3.22, 2 Er 3.39-3.40, 2 Ac 3.56
Ac4 0.6505 0.7011 0.8500  6 Pr 3.56-3.74, 1 Ac 3.93
Pr4 0.2778 0.2771 0.5001  1 Pr 3.22, 2 Er 3.39-3.40, 2 Ac 3.56
Er2 0.2501 0.0001 0.7500  4 Pr 3.39-3.40

Size of the total moment = 0.005 μB per cell
VASP energy = -42.69 eV/cell
Formation enthalpy at 0 K = 0.199 eV/atom



No. 3
Below is a geometry-optimized Ac3Pr2Er2 structure, with properties calculated at the GGA-PBE level.

Lattice parameters (Å, degrees): 5.6629 3.7441 12.9338 90.00 77.35 90.00
Last column: nearest neighbours and their distance in Å.
Atoms (fractional coordinates):
Pr1 0.5741 0.5000 0.8518  1 Er 3.56, 3 Pr 3.74, 8 Ac 3.88-3.96
Ac1 0.1552 0.0000 0.6896  6 Er 3.72-3.77, 3 Ac 3.74-3.92, 4 Pr 3.96
Ac2 0.8448 0.0000 0.3104  6 Er 3.72-3.77, 3 Ac 3.74-3.92, 4 Pr 3.96
Ac3 0.0000 0.0000 0.0000  4 Ac 3.74-3.92, 8 Pr 3.88
Er1 0.7151 0.5000 0.5697  2 Er 3.33, 1 Pr 3.56, 4 Ac 3.72
Er2 0.2849 0.5000 0.4303  2 Er 3.33, 1 Pr 3.56, 4 Ac 3.72
Pr2 0.4259 0.5000 0.1482  1 Er 3.56, 3 Pr 3.74, 8 Ac 3.88-3.96

Size of the total moment = 0.000 μB per cell
VASP energy = -30.64 eV/cell
Formation enthalpy at 0 K = 0.052 eV/atom



No. 4
Below is a geometry-optimized AcPr2Er structure, with properties calculated at the GGA-PBE level.

Lattice parameters (Å, degrees): 5.2893 5.2549 5.2549 90.00 90.00 90.00
Last column: nearest neighbours and their distance in Å.
Atoms (fractional coordinates):
Er1 0.5000 0.5000 0.5000  4 Ac 3.72, 8 Pr 3.73
Pr1 0.0000 0.5000 0.0000  4 Pr 3.72, 4 Ac 3.73, 4 Er 3.73
Ac1 0.5000 0.0000 0.0000  4 Er 3.72, 8 Pr 3.73
Pr2 0.0000 0.0000 0.5000  4 Pr 3.72, 4 Ac 3.73, 4 Er 3.73

Size of the total moment = 0.000 μB per cell
VASP energy = -18.11 eV/cell
Formation enthalpy at 0 K = 0.029 eV/atom



No. 5
Below is a geometry-optimized AcPr15Er4 structure, with properties calculated at the GGA-PBE level.

Lattice parameters (Å, degrees): 5.2204 5.2204 26.0120 90.00 90.00 90.00
Last column: nearest neighbours and their distance in Å.
Atoms (fractional coordinates):
Ac1 0.0000 0.0000 0.0000  12 Pr 3.69-3.79
Pr1 0.0000 0.5000 0.6973  8 Pr 3.64-3.69, 4 Er 3.66
Pr2 0.5000 0.5000 0.2052  8 Pr 3.64-3.68, 4 Er 3.69
Pr3 0.0000 0.5000 0.5000  8 Pr 3.66-3.69, 4 Er 3.66
Pr4 0.0000 0.5000 0.8946  2 Er 3.66, 8 Pr 3.68-3.79, 2 Ac 3.79
Er1 0.0000 0.0000 0.7960  12 Pr 3.66-3.69
Pr5 0.5000 0.0000 0.1054  2 Er 3.66, 8 Pr 3.68-3.79, 2 Ac 3.79
Er2 0.0000 0.0000 0.4014  12 Pr 3.66-3.69
Pr6 0.5000 0.5000 0.0000  4 Ac 3.69, 8 Pr 3.79
Er3 0.0000 0.0000 0.2040  12 Pr 3.66-3.69
Pr7 0.0000 0.5000 0.1054  2 Er 3.66, 8 Pr 3.68-3.79, 2 Ac 3.79
Pr8 0.5000 0.0000 0.5000  8 Pr 3.66-3.69, 4 Er 3.66
Pr9 0.5000 0.5000 0.5986  8 Pr 3.66, 4 Er 3.69
Er4 0.0000 0.0000 0.5986  12 Pr 3.66-3.69
Pr10 0.5000 0.5000 0.7948  8 Pr 3.64-3.68, 4 Er 3.69
Pr11 0.5000 0.0000 0.8946  2 Er 3.66, 8 Pr 3.68-3.79, 2 Ac 3.79
Pr12 0.5000 0.0000 0.6973  8 Pr 3.64-3.69, 4 Er 3.66
Pr13 0.5000 0.0000 0.3027  8 Pr 3.64-3.69, 4 Er 3.66
Pr14 0.0000 0.5000 0.3027  8 Pr 3.64-3.69, 4 Er 3.66
Pr15 0.5000 0.5000 0.4014  8 Pr 3.66, 4 Er 3.69

Size of the total moment = 0.000 μB per cell
VASP energy = -93.73 eV/cell
Formation enthalpy at 0 K = 0.016 eV/atom



No. 6
Below is a geometry-optimized AcPr8Er5 structure, with properties calculated at the GGA-PBE level.

Lattice parameters (Å, degrees): 8.6939 8.6944 8.6939 111.58 105.34 111.57
Last column: nearest neighbours and their distance in Å.
Atoms (fractional coordinates):
Pr1 0.7231 0.2544 0.3262  5 Er 3.43-3.67, 3 Pr 3.61-3.68
Ac1 0.2502 0.5000 0.7502  4 Pr 3.37
Pr2 0.5314 0.6032 0.2770  5 Er 3.43-3.67, 3 Pr 3.61-3.68
Er1 0.4999 0.0000 0.4999  8 Pr 3.25-3.43
Er2 0.2736 0.0868 0.9560  8 Pr 3.40-3.67, 2 Er 3.55
Pr3 0.3438 0.2632 0.4172  5 Er 3.25-3.63, 1 Ac 3.37, 2 Pr 3.61
Pr4 0.9192 0.0734 0.6561  5 Er 3.25-3.63, 1 Ac 3.37, 2 Pr 3.61
Pr5 0.5828 0.9266 0.8459  5 Er 3.25-3.63, 1 Ac 3.37, 2 Pr 3.61
Er3 0.8131 0.6823 0.7263  8 Pr 3.40-3.67, 2 Er 3.55
Pr6 0.1540 0.7368 0.0807  5 Er 3.25-3.63, 1 Ac 3.37, 2 Pr 3.61
Er4 0.8693 0.9132 0.1868  8 Pr 3.40-3.67, 2 Er 3.55
Pr7 0.6737 0.3968 0.9282  5 Er 3.43-3.67, 3 Pr 3.61-3.68
Pr8 0.0718 0.7456 0.4687  5 Er 3.43-3.67, 3 Pr 3.61-3.68
Er5 0.0440 0.3177 0.1308  8 Pr 3.40-3.67, 2 Er 3.55

Size of the total moment = 0.000 μB per cell
VASP energy = -61.81 eV/cell
Formation enthalpy at 0 K = 0.239 eV/atom



No. 7
Below is a geometry-optimized Ac12Pr6Er structure, with properties calculated at the GGA-PBE level.

Lattice parameters (Å, degrees): 10.2647 10.2647 10.2647 110.84 110.84 110.84
Last column: nearest neighbours and their distance in Å.
Atoms (fractional coordinates):
Ac1 0.3763 0.0648 0.5840  4 Pr 3.82-4.00, 8 Ac 3.88-3.96
Ac2 0.0648 0.5840 0.3763  4 Pr 3.82-4.00, 8 Ac 3.88-3.96
Pr1 0.3161 0.4668 0.2136  4 Pr 3.73-3.86, 7 Ac 3.82-4.01, 1 Er 3.83
Ac3 0.9352 0.4160 0.6237  4 Pr 3.82-4.00, 8 Ac 3.88-3.96
Ac4 0.4160 0.6237 0.9352  4 Pr 3.82-4.00, 8 Ac 3.88-3.96
Ac5 0.8984 0.8457 0.2616  1 Er 3.83, 8 Ac 3.83-3.96, 3 Pr 3.88-4.01
Ac6 0.6237 0.9352 0.4160  4 Pr 3.82-4.00, 8 Ac 3.88-3.96
Ac7 0.5840 0.3763 0.0648  4 Pr 3.82-4.00, 8 Ac 3.88-3.96
Pr2 0.5332 0.7864 0.6839  4 Pr 3.73-3.86, 7 Ac 3.82-4.01, 1 Er 3.83
Ac8 0.2616 0.8984 0.8457  1 Er 3.83, 8 Ac 3.83-3.96, 3 Pr 3.88-4.01
Pr3 0.7864 0.6839 0.5332  4 Pr 3.73-3.86, 7 Ac 3.82-4.01, 1 Er 3.83
Ac9 0.1543 0.7384 0.1016  1 Er 3.83, 8 Ac 3.83-3.96, 3 Pr 3.88-4.01
Pr4 0.2136 0.3161 0.4668  4 Pr 3.73-3.86, 7 Ac 3.82-4.01, 1 Er 3.83
Pr5 0.4668 0.2136 0.3161  4 Pr 3.73-3.86, 7 Ac 3.82-4.01, 1 Er 3.83
Pr6 0.6839 0.5332 0.7864  4 Pr 3.73-3.86, 7 Ac 3.82-4.01, 1 Er 3.83
Er1 0.0000 0.0000 0.0000  6 Ac 3.83, 6 Pr 3.83
Ac10 0.8457 0.2616 0.8984  1 Er 3.83, 8 Ac 3.83-3.96, 3 Pr 3.88-4.01
Ac11 0.7384 0.1016 0.1543  1 Er 3.83, 8 Ac 3.83-3.96, 3 Pr 3.88-4.01
Ac12 0.1016 0.1543 0.7384  1 Er 3.83, 8 Ac 3.83-3.96, 3 Pr 3.88-4.01

Size of the total moment = 0.000 μB per cell
VASP energy = -81.88 eV/cell
Formation enthalpy at 0 K = 0.035 eV/atom



No. 8
Below is a geometry-optimized Ac8Pr4Er structure, with properties calculated at the GGA-PBE level.

Lattice parameters (Å, degrees): 5.5109 17.6760 6.6870 64.04 65.67 81.03
Last column: nearest neighbours and their distance in Å.
Atoms (fractional coordinates):
Ac1 0.8192 0.0534 0.3082  4 Pr 3.77-3.89, 5 Ac 3.83-3.92, 3 Er 3.85
Ac2 0.5874 0.7529 0.0723  1 Er 3.79, 4 Pr 3.84-3.93, 7 Ac 3.87-3.94
Ac3 0.7441 0.2886 0.2232  5 Pr 3.84-3.95, 7 Ac 3.86-3.92
Ac4 0.4349 0.2059 0.9243  1 Er 3.79, 4 Pr 3.84-3.93, 7 Ac 3.87-3.94
Pr1 0.8981 0.8286 0.3751  10 Ac 3.77-3.94, 2 Er 3.84
Pr2 0.6633 0.5171 0.1562  3 Pr 3.81-3.89, 9 Ac 3.84-3.93
Ac5 0.2029 0.9054 0.6888  4 Pr 3.77-3.89, 5 Ac 3.83-3.92, 3 Er 3.85
Er1 0.5110 0.9794 0.9985  8 Ac 3.79-3.85, 4 Pr 3.84
Ac6 0.0521 0.3646 0.5312  6 Pr 3.85-3.90, 6 Ac 3.86-3.94
Ac7 0.9704 0.5943 0.4649  6 Pr 3.85-3.90, 6 Ac 3.86-3.94
Pr3 0.3593 0.4418 0.8397  3 Pr 3.81-3.89, 9 Ac 3.84-3.93
Ac8 0.2783 0.6703 0.7732  5 Pr 3.84-3.94, 7 Ac 3.86-3.92
Pr4 0.1240 0.1302 0.6218  10 Ac 3.77-3.95, 2 Er 3.84

Size of the total moment = 0.000 μB per cell
VASP energy = -56.09 eV/cell
Formation enthalpy at 0 K = 0.035 eV/atom



No. 9
Below is a geometry-optimized Ac2Pr8Er structure, with properties calculated at the GGA-PBE level.

Lattice parameters (Å, degrees): 8.4127 10.2534 10.2534 40.21 49.92 49.92
Last column: nearest neighbours and their distance in Å.
Atoms (fractional coordinates):
Pr1 0.2160 0.3330 0.8015  5 Pr 3.30-3.67, 1 Er 3.42
Pr2 0.7840 0.1985 0.6670  5 Pr 3.30-3.67, 1 Er 3.42
Pr3 0.2160 0.8015 0.3330  5 Pr 3.30-3.67, 1 Er 3.42
Pr4 0.7840 0.6670 0.1985  5 Pr 3.30-3.67, 1 Er 3.42
Pr5 0.7558 0.6103 0.6103  4 Pr 3.32-3.66, 1 Ac 3.45
Pr6 0.7869 0.2617 0.2617  5 Pr 3.39-3.67, 2 Ac 3.71
Ac1 0.3977 0.1713 0.1713  7 Pr 3.45-3.83, 1 Er 3.69
Pr7 0.2442 0.3897 0.3897  4 Pr 3.32-3.66, 1 Ac 3.45
Pr8 0.2131 0.7383 0.7383  5 Pr 3.39-3.67, 2 Ac 3.71
Ac2 0.6023 0.8287 0.8287  7 Pr 3.45-3.83, 1 Er 3.69
Er1 0.0000 0.0000 0.0000  4 Pr 3.42, 2 Ac 3.69

Size of the total moment = 0.000 μB per cell
VASP energy = -49.32 eV/cell
Formation enthalpy at 0 K = 0.154 eV/atom



No. 10
Below is a geometry-optimized Ac8Pr2Er structure, with properties calculated at the GGA-PBE level.

Lattice parameters (Å, degrees): 5.5578 8.7110 10.2722 104.77 105.70 90.00
Last column: nearest neighbours and their distance in Å.
Atoms (fractional coordinates):
Ac1 0.3191 0.0864 0.6383  1 Er 3.85, 3 Pr 3.88-3.95, 8 Ac 3.88-3.95
Er1 0.5000 0.0000 0.0000  12 Ac 3.85-3.92
Ac2 0.6809 0.9136 0.3617  1 Er 3.85, 3 Pr 3.88-3.95, 8 Ac 3.88-3.95
Ac3 0.8630 0.8144 0.7260  3 Pr 3.83-3.91, 7 Ac 3.86-3.92, 2 Er 3.92
Ac4 0.4077 0.5499 0.8154  3 Pr 3.85-3.88, 8 Ac 3.86-3.97, 1 Er 3.86
Ac5 0.0465 0.7300 0.0930  1 Pr 3.86, 9 Ac 3.88-3.96, 2 Er 3.90
Ac6 0.9535 0.2700 0.9070  1 Pr 3.86, 9 Ac 3.88-3.96, 2 Er 3.90
Ac7 0.5923 0.4501 0.1846  3 Pr 3.85-3.88, 8 Ac 3.86-3.97, 1 Er 3.86
Ac8 0.1370 0.1856 0.2740  3 Pr 3.83-3.91, 7 Ac 3.86-3.92, 2 Er 3.92
Pr1 0.2261 0.6338 0.4523  10 Ac 3.83-3.95, 2 Pr 3.90
Pr2 0.7739 0.3662 0.5477  10 Ac 3.83-3.95, 2 Pr 3.90

Size of the total moment = 0.000 μB per cell
VASP energy = -46.60 eV/cell
Formation enthalpy at 0 K = 0.035 eV/atom